# 1
This record from OQMD via LeMat-Bulk describes an optimized crystal structure of RbPtAu3Se4. The functional is PBE.

Computed properties:
Total moment (Bohr magnetons per cell): 0.003
Total energy (eV per atom): -3.42
Space group: P-43m, No. 215

a b c (Å): 6.4366 6.4366 6.4366
angles (deg): 90.00 90.00 90.00
Fractional coordinates of all 9 atoms:
Rb (0.0000, 0.0000, 0.0000)
Pt (0.5000, 0.5000, 0.5000)
Au (0.0000, 0.5000, 0.5000)
Au (0.5000, 0.0000, 0.5000)
Au (0.5000, 0.5000, 0.0000)
Se (0.2817, 0.2817, 0.2817)
Se (0.2817, 0.7183, 0.7183)
Se (0.7183, 0.2817, 0.7183)
Se (0.7183, 0.7183, 0.2817)

# 2
This record from OQMD via LeMat-Bulk describes an optimized crystal structure of AgBiSO. The functional is PBE.

Computed properties:
Energy relative to the lowest polymorph listed for this composition (kJ per mole of atoms): 18.15
Space group: Pmc2_1, No. 26

a b c (Å): 3.9679 6.3082 6.7200
angles (deg): 90.00 90.00 90.00
Fractional coordinates of all 8 atoms:
Ag (0.0000, 0.2452, 0.0000)
Ag (0.0000, 0.7548, 0.5000)
Bi (0.5000, 0.2212, 0.4200)
Bi (0.5000, 0.7788, 0.9200)
S (0.0000, 0.3832, 0.6500)
S (0.0000, 0.6168, 0.1500)
O (0.5000, 0.0600, 0.0881)
O (0.5000, 0.9400, 0.5881)

# 3
This record from OQMD via LeMat-Bulk describes an optimized crystal structure of KCdBiTe3. The functional is PBE.

Computed properties:
Total energy (eV per atom): -3.12
Space group: Cmcm, No. 63

a b c (Å): 8.1909 8.1909 11.9353
angles (deg): 90.00 90.00 147.47
Fractional coordinates of all 12 atoms:
K (0.2501, 0.7499, 0.7500)
K (0.7499, 0.2501, 0.2500)
Cd (0.0423, 0.9577, 0.2500)
Cd (0.9577, 0.0423, 0.7500)
Bi (0.5000, 0.5000, 0.0000)
Bi (0.5000, 0.5000, 0.5000)
Te (0.1367, 0.8633, 0.0473)
Te (0.1367, 0.8633, 0.4527)
Te (0.4274, 0.5726, 0.2500)
Te (0.5726, 0.4274, 0.7500)
Te (0.8633, 0.1367, 0.5473)
Te (0.8633, 0.1367, 0.9527)

# 4
This record from OQMD via LeMat-Bulk describes an optimized crystal structure of ZrAgBi2. The functional is PBE.

Computed properties:
Total moment (Bohr magnetons per cell): 3.081
Total energy (eV per atom): -4.63
Space group: F-43m, No. 216

a b c (Å): 7.4047 7.4047 7.4047
angles (deg): 90.00 90.00 90.00
Fractional coordinates of all 16 atoms:
Zr (0.0000, 0.0000, 0.0000)
Zr (0.0000, 0.5000, 0.5000)
Zr (0.5000, 0.0000, 0.5000)
Zr (0.5000, 0.5000, 0.0000)
Ag (0.2500, 0.2500, 0.2500)
Ag (0.2500, 0.7500, 0.7500)
Ag (0.7500, 0.2500, 0.7500)
Ag (0.7500, 0.7500, 0.2500)
Bi (0.0000, 0.0000, 0.5000)
Bi (0.0000, 0.5000, 0.0000)
Bi (0.2500, 0.2500, 0.7500)
Bi (0.2500, 0.7500, 0.2500)
Bi (0.5000, 0.0000, 0.0000)
Bi (0.5000, 0.5000, 0.5000)
Bi (0.7500, 0.2500, 0.2500)
Bi (0.7500, 0.7500, 0.7500)

# 5
This record from OQMD via LeMat-Bulk describes an optimized crystal structure of Sc4Ta2C3S3. The functional is PBE.

Computed properties:
Total moment (Bohr magnetons per cell): 0.013
Total energy (eV per atom): -8.64
Space group: C2/c, No. 15

a b c (Å): 5.8122 5.8122 12.3250
angles (deg): 103.70 103.70 60.10
Fractional coordinates of all 24 atoms:
Sc (0.0425, 0.1940, 0.1047)
Sc (0.1227, 0.2996, 0.3953)
Sc (0.1940, 0.0425, 0.6047)
Sc (0.2996, 0.1227, 0.8953)
Sc (0.7004, 0.8773, 0.1047)
Sc (0.8060, 0.9575, 0.3953)
Sc (0.8773, 0.7004, 0.6047)
Sc (0.9575, 0.8060, 0.8953)
Ta (0.3567, 0.5306, 0.0923)
Ta (0.4694, 0.6433, 0.4077)
Ta (0.5306, 0.3567, 0.5923)
Ta (0.6433, 0.4694, 0.9077)
C (0.0000, 0.5000, 0.0000)
C (0.1837, 0.6579, 0.5001)
C (0.3421, 0.8163, 0.9999)
C (0.5000, 0.0000, 0.5000)
C (0.6579, 0.1837, 0.0001)
C (0.8163, 0.3421, 0.4999)
S (0.0961, 0.9039, 0.2500)
S (0.2625, 0.4160, 0.7505)
S (0.4160, 0.2625, 0.2505)
S (0.5840, 0.7375, 0.7495)
S (0.7375, 0.5840, 0.2495)
S (0.9039, 0.0961, 0.7500)

# 6
This record from OQMD via LeMat-Bulk describes an optimized crystal structure of NaSmNiSe3. The functional is PBE.

Computed properties:
Total moment (Bohr magnetons per cell): 2.380
Energy relative to the lowest polymorph listed for this composition (kJ per mole of atoms): 0.00
Space group: P2_1/m, No. 11

a b c (Å): 8.3282 4.0557 9.3753
angles (deg): 90.00 102.31 90.00
Fractional coordinates of all 12 atoms:
Na (0.2004, 0.2500, 0.2337)
Na (0.7996, 0.7500, 0.7663)
Sm (0.3190, 0.7500, 0.8541)
Sm (0.6810, 0.2500, 0.1459)
Ni (0.0800, 0.2500, 0.5895)
Ni (0.9200, 0.7500, 0.4105)
Se (0.0712, 0.2500, 0.8461)
Se (0.1991, 0.7500, 0.5273)
Se (0.4360, 0.7500, 0.1691)
Se (0.5640, 0.2500, 0.8309)
Se (0.8009, 0.2500, 0.4727)
Se (0.9288, 0.7500, 0.1539)